Compound: CeFe9Ge4
Source: Alexandria via LeMat-Bulk
Functional: PBE
Structure: relaxed

Cell: 8.049 8.049 8.202 Å, 119.39 119.39 90.00°
Element x y z (fractional)
1 Ge 0.055 0.555 0.748
2 Ge 0.693 0.193 0.748
3 Ge 0.193 0.055 0.748
4 Ge 0.555 0.693 0.748
5 Ge 0.945 0.445 0.252
6 Ge 0.445 0.307 0.252
7 Ge 0.307 0.807 0.252
8 Ge 0.807 0.945 0.252
9 Fe 0.438 0.701 0.000
10 Fe 0.062 0.790 0.353
11 Fe 0.562 0.062 0.353
12 Fe 0.201 0.938 0.000
13 Fe 0.562 0.299 0.000
14 Fe 0.299 0.438 0.000
15 Fe 0.000 0.500 0.000
16 Fe 0.290 0.562 0.353
17 Fe 0.799 0.062 0.000
18 Fe 0.938 0.799 0.000
19 Fe 0.710 0.438 0.647
20 Fe 0.210 0.710 0.647
21 Fe 0.790 0.290 0.353
22 Fe 0.438 0.938 0.647
23 Fe 0.701 0.562 0.000
24 Fe 0.500 0.000 0.000
25 Fe 0.938 0.210 0.647
26 Fe 0.062 0.201 0.000
27 Ce 0.250 0.250 0.500
28 Ce 0.750 0.750 0.500

Properties
For the mass density, the calculation gives 8.10 g/cm³. Its space group is I4/mcm, No. 140. The size of the total moment comes out at 16.11 μB per formula unit. The electronic total energy is -7.396 eV/atom. Its formation energy is -0.21 eV/atom. The crystal system is tetragonal.



Compound: CeFe3Ge3
Source: Alexandria via LeMat-Bulk
Functional: PBE
Structure: relaxed

Cell: 6.505 6.505 6.505 Å, 90.00 90.00 90.00°
Element x y z (fractional)
1 Ge 0.750 0.500 0.000
2 Ge 0.500 0.000 0.250
3 Ge 0.250 0.500 0.000
4 Ge 0.000 0.250 0.500
5 Ge 0.500 0.000 0.750
6 Ge 0.000 0.750 0.500
7 Fe 0.000 0.500 0.750
8 Fe 0.500 0.750 0.000
9 Fe 0.750 0.000 0.500
10 Fe 0.250 0.000 0.500
11 Fe 0.000 0.500 0.250
12 Fe 0.500 0.250 0.000
13 Ce 0.000 0.000 0.000
14 Ce 0.500 0.500 0.500

Properties
For the mass density, the calculation gives 6.34 g/cm³. Its space group is Pm-3n, No. 223. The size of the total moment comes out at 6.83 μB per formula unit. The electronic total energy is -6.283 eV/atom. Its formation energy is 0.17 eV/atom. The crystal system is cubic.



Compound: CeFeGe
Source: Alexandria via LeMat-Bulk
Functional: PBE
Structure: relaxed

Cell: 5.699 6.168 6.387 Å, 90.00 86.41 90.00°
Element x y z (fractional)
1 Ce 0.281 0.876 0.901
2 Ce 0.781 0.624 0.401
3 Ce 0.719 0.124 0.099
4 Ce 0.219 0.376 0.599
5 Fe 0.492 0.373 0.824
6 Fe 0.992 0.127 0.324
7 Fe 0.008 0.873 0.676
8 Fe 0.508 0.627 0.176
9 Ge 0.808 0.617 0.897
10 Ge 0.308 0.883 0.397
11 Ge 0.692 0.117 0.603
12 Ge 0.192 0.383 0.103

Properties
For the mass density, the calculation gives 7.96 g/cm³. Its space group is P2_1/c, No. 14. The size of the total moment comes out at 0.00 μB per formula unit. The electronic total energy is -6.924 eV/atom. Its formation energy is -0.59 eV/atom. The crystal system is monoclinic.



Compound: Ce3Fe2Ge4
Source: Alexandria via LeMat-Bulk
Functional: PBE
Structure: relaxed

Cell: 4.193 5.844 8.121 Å, 106.17 90.00 111.02°
Element x y z (fractional)
1 Ge 0.897 0.794 0.608
2 Ge 0.289 0.578 0.920
3 Ge 0.711 0.422 0.080
4 Ge 0.103 0.206 0.392
5 Ce 0.377 0.754 0.316
6 Ce 0.623 0.246 0.684
7 Ce 0.000 0.000 0.000
8 Fe 0.301 0.602 0.630
9 Fe 0.699 0.398 0.370

Properties
For the mass density, the calculation gives 7.70 g/cm³. Its space group is C2/m, No. 12. The size of the total moment comes out at 0.57 μB per formula unit. The electronic total energy is -6.494 eV/atom. Its formation energy is -0.58 eV/atom. The crystal system is monoclinic.



Compound: CeFeGe2
Source: Alexandria via LeMat-Bulk
Functional: PBE
Structure: relaxed

Cell: 4.235 6.727 10.203 Å, 90.00 90.00 90.00°
Element x y z (fractional)
1 Ce 0.250 0.313 0.375
2 Ce 0.750 0.687 0.625
3 Ce 0.750 0.187 0.875
4 Ce 0.250 0.813 0.125
5 Ge 0.250 0.369 0.680
6 Ge 0.750 0.180 0.580
7 Ge 0.250 0.869 0.820
8 Ge 0.250 0.820 0.420
9 Ge 0.750 0.131 0.180
10 Ge 0.750 0.680 0.920
11 Ge 0.250 0.320 0.080
12 Ge 0.750 0.631 0.320
13 Fe 0.250 0.011 0.609
14 Fe 0.750 0.489 0.109
15 Fe 0.250 0.511 0.891
16 Fe 0.750 0.989 0.391

Properties
For the mass density, the calculation gives 7.80 g/cm³. Its space group is Pnma, No. 62. The size of the total moment comes out at 0.00 μB per formula unit. The electronic total energy is -6.446 eV/atom. Its formation energy is -0.54 eV/atom. The crystal system is orthorhombic.



Compound: Ce3Fe4Ge4
Source: Alexandria via LeMat-Bulk
Functional: PBE
Structure: relaxed

Cell: 6.315 6.315 6.315 Å, 109.47 109.47 109.47°
Element x y z (fractional)
1 Fe 0.754 0.754 0.754
2 Fe 0.246 0.000 0.000
3 Fe 0.000 0.000 0.246
4 Fe 0.000 0.246 0.000
5 Ge 0.389 0.389 0.389
6 Ge 0.000 0.000 0.611
7 Ge 0.611 0.000 0.000
8 Ge 0.000 0.611 0.000
9 Ce 0.000 0.500 0.500
10 Ce 0.500 0.000 0.500
11 Ce 0.500 0.500 0.000

Properties
For the mass density, the calculation gives 8.00 g/cm³. Its space group is I-43m, No. 217. The size of the total moment comes out at 0.36 μB per formula unit. The electronic total energy is -6.859 eV/atom. Its formation energy is -0.48 eV/atom. The crystal system is cubic.



Compound: CeFeGe
Source: Alexandria via LeMat-Bulk
Functional: PBE
Structure: relaxed

Cell: 3.762 4.243 4.243 Å, 120.00 90.00 90.00°
Element x y z (fractional)
1 Fe 0.167 0.000 0.000
2 Ce 0.667 0.667 0.333
3 Ge 0.167 0.333 0.667

Properties
For the mass density, the calculation gives 7.61 g/cm³. Its space group is P-6m2, No. 187. The size of the total moment comes out at 1.20 μB per formula unit. The electronic total energy is -6.751 eV/atom. Its formation energy is -0.41 eV/atom. The crystal system is hexagonal.



Compound: Ce3FeGe2
Source: Alexandria via LeMat-Bulk
Functional: PBE
Structure: relaxed

Cell: 4.405 10.158 12.024 Å, 90.00 90.00 90.00°
Element x y z (fractional)
1 Ce 0.750 0.229 0.263
2 Ce 0.250 0.058 0.875
3 Ce 0.750 0.271 0.763
4 Ce 0.750 0.610 0.944
5 Ce 0.250 0.771 0.737
6 Ce 0.250 0.110 0.556
7 Ce 0.250 0.442 0.375
8 Ce 0.750 0.942 0.125
9 Ce 0.750 0.558 0.625
10 Ce 0.250 0.390 0.056
11 Ce 0.250 0.729 0.237
12 Ce 0.750 0.890 0.444
13 Ge 0.750 0.528 0.207
14 Ge 0.750 0.305 0.509
15 Ge 0.250 0.695 0.491
16 Ge 0.250 0.028 0.293
17 Ge 0.250 0.805 0.991
18 Ge 0.750 0.195 0.009
19 Ge 0.750 0.972 0.707
20 Ge 0.250 0.472 0.793
21 Fe 0.750 0.828 0.889
22 Fe 0.250 0.172 0.111
23 Fe 0.250 0.328 0.611
24 Fe 0.750 0.672 0.389

Properties
For the mass density, the calculation gives 7.67 g/cm³. Its space group is Pnma, No. 62. The size of the total moment comes out at 1.29 μB per formula unit. The electronic total energy is -6.492 eV/atom. Its formation energy is -0.58 eV/atom. The crystal system is orthorhombic.



Compound: Ce4FeGe
Source: Alexandria via LeMat-Bulk
Functional: PBE
Structure: relaxed

Cell: 5.626 7.706 7.804 Å, 111.35 100.55 111.06°
Element x y z (fractional)
1 Ce 0.034 0.203 0.850
2 Ce 0.687 0.100 0.390
3 Ce 0.313 0.900 0.610
4 Ce 0.202 0.289 0.390
5 Ce 0.316 0.647 0.850
6 Ce 0.966 0.797 0.150
7 Ce 0.684 0.353 0.150
8 Ce 0.798 0.711 0.610
9 Fe 0.731 0.981 0.963
10 Fe 0.269 0.019 0.037
11 Ge 0.369 0.619 0.237
12 Ge 0.631 0.381 0.763

Properties
For the mass density, the calculation gives 8.34 g/cm³. Its space group is C2/c, No. 15. The size of the total moment comes out at 0.00 μB per formula unit. The electronic total energy is -6.418 eV/atom. Its formation energy is -0.28 eV/atom. The crystal system is monoclinic.



Compound: Ce4FeGe8
Source: Alexandria via LeMat-Bulk
Functional: PBE
Structure: relaxed

Cell: 4.081 4.181 16.239 Å, 90.00 90.00 90.00°
Element x y z (fractional)
1 Ge 0.500 0.500 0.050
2 Ge 0.000 0.500 0.240
3 Ge 0.500 0.000 0.555
4 Ge 0.500 0.000 0.239
5 Ge 0.000 0.500 0.947
6 Ge 0.000 0.000 0.456
7 Ge 0.000 0.000 0.751
8 Ge 0.500 0.500 0.753
9 Ce 0.500 0.000 0.894
10 Ce 0.000 0.500 0.609
11 Ce 0.500 0.500 0.393
12 Ce 0.000 0.000 0.105
13 Fe 0.000 0.000 0.312

Properties
For the mass density, the calculation gives 7.18 g/cm³. Its space group is Pmm2, No. 25. The size of the total moment comes out at 0.20 μB per formula unit. The electronic total energy is -5.895 eV/atom. Its formation energy is -0.58 eV/atom. The crystal system is orthorhombic.



Compound: CeFe6Ge12
Source: Alexandria via LeMat-Bulk
Functional: PBE
Structure: relaxed

Cell: 7.402 7.402 7.402 Å, 109.47 109.47 109.47°
Element x y z (fractional)
1 Fe 0.356 0.500 0.856
2 Fe 0.856 0.356 0.500
3 Fe 0.500 0.144 0.644
4 Fe 0.144 0.644 0.500
5 Fe 0.644 0.500 0.144
6 Fe 0.500 0.856 0.356
7 Ge 0.471 0.179 0.292
8 Ge 0.821 0.292 0.112
9 Ge 0.708 0.888 0.179
10 Ge 0.179 0.292 0.471
11 Ge 0.292 0.471 0.179
12 Ge 0.708 0.529 0.821
13 Ge 0.821 0.708 0.529
14 Ge 0.112 0.821 0.292
15 Ge 0.888 0.179 0.708
16 Ge 0.529 0.821 0.708
17 Ge 0.292 0.112 0.821
18 Ge 0.179 0.708 0.888
19 Ce 0.000 0.000 0.000

Properties
For the mass density, the calculation gives 7.16 g/cm³. Its space group is Im-3, No. 204. The size of the total moment comes out at 8.00 μB per formula unit. The electronic total energy is -5.768 eV/atom. Its formation energy is 0.13 eV/atom. The crystal system is cubic.



Compound: CeFe2Ge2
Source: Alexandria via LeMat-Bulk
Functional: PBE
Structure: relaxed

Cell: 5.700 5.700 5.700 Å, 137.96 137.96 60.96°
Element x y z (fractional)
1 Fe 0.250 0.750 0.500
2 Fe 0.750 0.250 0.500
3 Ge 0.365 0.365 0.000
4 Ge 0.635 0.635 0.000
5 Ce 0.000 0.000 0.000

Properties
For the mass density, the calculation gives 8.03 g/cm³. Its space group is I4/mmm, No. 139. The size of the total moment comes out at 0.45 μB per formula unit. The electronic total energy is -6.870 eV/atom. Its formation energy is -0.45 eV/atom. The crystal system is tetragonal.



Compound: CeFeGe2
Source: Alexandria via LeMat-Bulk
Functional: PBE
Structure: relaxed

Cell: 4.120 4.120 5.556 Å, 68.23 68.23 60.00°
Element x y z (fractional)
1 Ge 0.784 0.784 0.648
2 Ge 0.216 0.216 0.352
3 Ce 0.000 0.000 0.000
4 Fe 0.500 0.500 0.500

Properties
For the mass density, the calculation gives 7.68 g/cm³. Its space group is R-3m, No. 166. The size of the total moment comes out at 0.74 μB per formula unit. The electronic total energy is -6.389 eV/atom. Its formation energy is -0.48 eV/atom. The crystal system is trigonal.



Compound: Ce12FeGe6
Source: Alexandria via LeMat-Bulk
Functional: PBE
Structure: relaxed

Cell: 7.813 7.813 7.813 Å, 95.37 95.37 95.37°
Element x y z (fractional)
1 Ce 0.528 0.160 0.424
2 Ce 0.918 0.666 0.010
3 Ce 0.082 0.334 0.990
4 Ce 0.334 0.990 0.082
5 Ce 0.010 0.918 0.666
6 Ce 0.424 0.528 0.160
7 Ce 0.160 0.424 0.528
8 Ce 0.666 0.010 0.918
9 Ce 0.990 0.082 0.334
10 Ce 0.576 0.472 0.840
11 Ce 0.840 0.576 0.472
12 Ce 0.472 0.840 0.576
13 Ge 0.165 0.741 0.329
14 Ge 0.835 0.259 0.671
15 Ge 0.259 0.671 0.835
16 Ge 0.671 0.835 0.259
17 Ge 0.329 0.165 0.741
18 Ge 0.741 0.329 0.165
19 Fe 0.000 0.000 0.000

Properties
For the mass density, the calculation gives 7.67 g/cm³. Its space group is R-3, No. 148. The size of the total moment comes out at 7.67 μB per formula unit. The electronic total energy is -6.069 eV/atom. Its formation energy is -0.42 eV/atom. The crystal system is trigonal.



Compound: CeFeGe2
Source: Alexandria via LeMat-Bulk
Functional: PBE
Structure: relaxed

Cell: 4.156 4.160 8.820 Å, 103.64 90.00 90.00°
Element x y z (fractional)
1 Ge 0.000 0.500 0.000
2 Ge 0.500 0.293 0.586
3 Ge 0.500 0.707 0.414
4 Ge 0.500 0.000 0.000
5 Fe 0.500 0.428 0.857
6 Fe 0.500 0.572 0.143
7 Ce 0.000 0.143 0.285
8 Ce 0.000 0.857 0.715

Properties
For the mass density, the calculation gives 7.65 g/cm³. Its space group is Cmmm, No. 65. The size of the total moment comes out at 0.44 μB per formula unit. The electronic total energy is -6.432 eV/atom. Its formation energy is -0.52 eV/atom. The crystal system is orthorhombic.



Compound: Ce2Fe2Ge3
Source: Alexandria via LeMat-Bulk
Functional: PBE
Structure: relaxed

Cell: 4.300 6.776 9.235 Å, 90.00 103.46 90.00°
Element x y z (fractional)
1 Ce 0.161 0.250 0.322
2 Ce 0.839 0.750 0.678
3 Ce 0.051 0.750 0.102
4 Ce 0.949 0.250 0.898
5 Fe 0.300 0.063 0.600
6 Fe 0.300 0.437 0.600
7 Fe 0.700 0.937 0.400
8 Fe 0.700 0.563 0.400
9 Ge 0.568 0.441 0.135
10 Ge 0.780 0.250 0.560
11 Ge 0.432 0.941 0.865
12 Ge 0.220 0.750 0.440
13 Ge 0.432 0.559 0.865
14 Ge 0.568 0.059 0.135

Properties
For the mass density, the calculation gives 7.74 g/cm³. Its space group is Cmcm, No. 63. The size of the total moment comes out at 2.46 μB per formula unit. The electronic total energy is -6.590 eV/atom. Its formation energy is -0.50 eV/atom. The crystal system is orthorhombic.



Compound: Ce3Fe2Ge6
Source: Alexandria via LeMat-Bulk
Functional: PBE
Structure: relaxed

Cell: 4.244 4.244 13.241 Å, 99.22 99.22 90.00°
Element x y z (fractional)
1 Ce 0.176 0.176 0.352
2 Ce 0.000 0.000 0.000
3 Ce 0.824 0.824 0.648
4 Ge 0.085 0.585 0.171
5 Ge 0.287 0.287 0.574
6 Ge 0.585 0.085 0.171
7 Ge 0.915 0.415 0.829
8 Ge 0.415 0.915 0.829
9 Ge 0.713 0.713 0.426
10 Fe 0.626 0.626 0.252
11 Fe 0.374 0.374 0.748

Properties
For the mass density, the calculation gives 6.92 g/cm³. Its space group is I4/mmm, No. 139. The size of the total moment comes out at 0.48 μB per formula unit. The electronic total energy is -6.076 eV/atom. Its formation energy is -0.40 eV/atom. The crystal system is tetragonal.



Compound: CeFe12Ge6
Source: Alexandria via LeMat-Bulk
Functional: PBE
Structure: relaxed

Cell: 6.753 6.753 6.753 Å, 104.29 104.29 104.29°
Element x y z (fractional)
1 Fe 0.500 0.114 0.886
2 Fe 0.414 0.142 0.414
3 Fe 0.886 0.500 0.114
4 Fe 0.142 0.414 0.414
5 Fe 0.586 0.858 0.586
6 Fe 0.414 0.414 0.142
7 Fe 0.886 0.114 0.500
8 Fe 0.500 0.886 0.114
9 Fe 0.114 0.886 0.500
10 Fe 0.586 0.586 0.858
11 Fe 0.114 0.500 0.886
12 Fe 0.858 0.586 0.586
13 Ce 0.000 0.000 0.000
14 Ge 0.258 0.712 0.258
15 Ge 0.258 0.258 0.712
16 Ge 0.742 0.742 0.288
17 Ge 0.742 0.288 0.742
18 Ge 0.288 0.742 0.742
19 Ge 0.712 0.258 0.258

Properties
For the mass density, the calculation gives 7.57 g/cm³. Its space group is R-3m, No. 166. The size of the total moment comes out at 24.86 μB per formula unit. The electronic total energy is -7.114 eV/atom. Its formation energy is 0.00 eV/atom. The crystal system is trigonal.



Compound: CeFe2Ge3
Source: Alexandria via LeMat-Bulk
Functional: PBE
Structure: relaxed

Cell: 5.404 6.077 6.077 Å, 103.23 90.00 90.00°
Element x y z (fractional)
1 Ge 0.750 0.040 0.040
2 Ge 0.750 0.470 0.105
3 Ge 0.250 0.530 0.895
4 Ge 0.750 0.105 0.470
5 Ge 0.250 0.895 0.530
6 Ge 0.250 0.960 0.960
7 Ce 0.750 0.649 0.649
8 Ce 0.250 0.351 0.351
9 Fe 0.500 0.796 0.204
10 Fe 0.000 0.204 0.796
11 Fe 0.000 0.796 0.204
12 Fe 0.500 0.204 0.796

Properties
For the mass density, the calculation gives 8.03 g/cm³. Its space group is Cmcm, No. 63. The size of the total moment comes out at 0.43 μB per formula unit. The electronic total energy is -6.418 eV/atom. Its formation energy is -0.30 eV/atom. The crystal system is orthorhombic.



Compound: LiCeFeGe
Source: Alexandria via LeMat-Bulk
Functional: PBE
Structure: relaxed

Cell: 4.500 4.500 4.500 Å, 60.00 60.00 60.00°
Element x y z (fractional)
1 Li 0.000 0.000 0.000
2 Ce 0.750 0.750 0.750
3 Ge 0.250 0.250 0.250
4 Fe 0.500 0.500 0.500

Properties
For the mass density, the calculation gives 7.10 g/cm³. Its space group is F-43m, No. 216. The size of the total moment comes out at 1.00 μB per formula unit. The electronic total energy is -5.483 eV/atom. Its formation energy is -0.25 eV/atom. The crystal system is cubic.